w | ! CuSi2F | Alexandria via LeMat-Bulk | GGA-PBE | relaxed; values from VASP
! Space-group type   No. 225
! Size of the total moment   0.00 μB/f.u.
&SYSTEM
  ibrav = 0, nat = 4, ntyp = 3
/
ATOMIC_SPECIES
Cu 63.55 Cu.upf
Si 28.09 Si.upf
F 19.00 F.upf
ATOMIC_POSITIONS crystal
Cu 0.000 0.000 0.000
Si 0.250 0.250 0.250
Si 0.750 0.750 0.750
F 0.500 0.500 0.500
CELL_PARAMETERS angstrom
0.000 2.928 2.928
2.928 0.000 2.928
2.928 2.928 0.000


x | ! CuSi2F | Alexandria via LeMat-Bulk | GGA-PBE | relaxed; values from VASP
! Space-group type   No. 122
! Size of the total moment   0.00 μB/f.u.
&SYSTEM
  ibrav = 0, nat = 8, ntyp = 3
/
ATOMIC_SPECIES
Cu 63.55 Cu.upf
Si 28.09 Si.upf
F 19.00 F.upf
ATOMIC_POSITIONS crystal
Cu 0.000 0.000 0.000
Cu 0.750 0.250 0.500
Si 0.119 0.625 0.994
Si 0.375 0.369 0.494
Si 0.631 0.125 0.006
Si 0.875 0.881 0.506
F 0.250 0.750 0.500
F 0.500 0.500 0.000
CELL_PARAMETERS angstrom
-1.728 1.728 9.248
1.728 -1.728 9.248
1.728 1.728 -9.248


Short version: w is the most stable of them.